<P>
Here is a relaxed structure of WI from the Alexandria database. Energies are from PBE.

Cell and atoms, written as CIF:
```
data_WI
_cell_length_a 3.3367
_cell_length_b 3.3367
_cell_length_c 9.1105
_cell_angle_alpha 90.00
_cell_angle_beta 90.00
_cell_angle_gamma 120.00
_symmetry_space_group_name_H-M 'P 63 m c'
_symmetry_Int_Tables_number 186
_symmetry_space_group_name_Hall 'P 6c -2c'
loop_
_atom_site_label
_atom_site_type_symbol
_atom_site_fract_x
_atom_site_fract_y
_atom_site_fract_z
W1 W 0.3333 0.6667 0.0000
I1 I 0.3333 0.6667 0.7073
```



<Q>
Here is a relaxed structure of WI from the Alexandria database. Energies are from PBE.

Cell and atoms, written as CIF:
```
data_WI
_cell_length_a 12.045
_cell_length_b 12.045
_cell_length_c 3.515
_cell_angle_alpha 90.00
_cell_angle_beta 90.00
_cell_angle_gamma 90.00
_symmetry_space_group_name_H-M 'I 4/m'
_symmetry_Int_Tables_number 87
_symmetry_space_group_name_Hall '-I 4'
loop_
_atom_site_label
_atom_site_type_symbol
_atom_site_fract_x
_atom_site_fract_y
_atom_site_fract_z
W1 W 0.192 0.708 0.000
I1 I 0.004 0.770 0.500
```



<R>
Here is a relaxed structure of WI from the Alexandria database. Energies are from PBE.

Cell and atoms, written as CIF:
```
data_WI
_cell_length_a 8.374
_cell_length_b 8.487
_cell_length_c 12.188
_cell_angle_alpha 90.00
_cell_angle_beta 90.00
_cell_angle_gamma 90.00
_symmetry_space_group_name_H-M 'F d d d'
_symmetry_Int_Tables_number 70
loop_
_symmetry_equiv_pos_as_xyz
'x,y,z'
'-x,-y,-z'
'-x+1/4,-y+1/4,z'
'x+1/4,y+1/4,-z'
'x,-y+1/4,-z+1/4'
'-x,y+1/4,z+1/4'
'-x+1/4,y,-z+1/4'
'x+1/4,-y,z+1/4'
'x,y+1/2,z+1/2'
'-x,-y+1/2,-z+1/2'
'-x+1/4,-y+3/4,z+1/2'
'x+1/4,y+3/4,-z+1/2'
'x,-y+3/4,-z+3/4'
'-x,y+3/4,z+3/4'
'-x+1/4,y+1/2,-z+3/4'
'x+1/4,-y+1/2,z+3/4'
'x+1/2,y,z+1/2'
'-x+1/2,-y,-z+1/2'
'-x+3/4,-y+1/4,z+1/2'
'x+3/4,y+1/4,-z+1/2'
'x+1/2,-y+1/4,-z+3/4'
'-x+1/2,y+1/4,z+3/4'
'-x+3/4,y,-z+3/4'
'x+3/4,-y,z+3/4'
'x+1/2,y+1/2,z'
'-x+1/2,-y+1/2,-z'
'-x+3/4,-y+3/4,z'
'x+3/4,y+3/4,-z'
'x+1/2,-y+3/4,-z+1/4'
'-x+1/2,y+3/4,z+1/4'
'-x+3/4,y+1/2,-z+1/4'
'x+3/4,-y+1/2,z+1/4'
loop_
_atom_site_label
_atom_site_type_symbol
_atom_site_fract_x
_atom_site_fract_y
_atom_site_fract_z
W1 W 0.125 0.125 0.028
I1 I 0.125 0.327 0.625
```



Which of them is the least stable? Correct choice: <P>.



<P>
Here is a relaxed structure of WI from the Alexandria database. Energies are from PBE.

Cell and atoms, written as CIF:
```
data_WI
_cell_length_a 11.423
_cell_length_b 11.423
_cell_length_c 3.415
_cell_angle_alpha 90.00
_cell_angle_beta 90.00
_cell_angle_gamma 90.00
_symmetry_space_group_name_H-M 'P 4/m'
_symmetry_Int_Tables_number 83
loop_
_symmetry_equiv_pos_as_xyz
'x,y,z'
'-x,-y,-z'
'-y,x,z'
'y,-x,-z'
'-x,-y,z'
'x,y,-z'
'y,-x,z'
'-y,x,-z'
loop_
_atom_site_label
_atom_site_type_symbol
_atom_site_fract_x
_atom_site_fract_y
_atom_site_fract_z
W1 W 0.073 0.610 0.000
W2 W 0.092 0.410 0.500
I1 I 0.173 0.798 0.500
I2 I 0.286 0.484 0.000
```



<Q>
Here is a relaxed structure of WI from the Alexandria database. Energies are from PBE.

Cell and atoms, written as CIF:
```
data_WI
_cell_length_a 7.467
_cell_length_b 7.467
_cell_length_c 7.467
_cell_angle_alpha 90.00
_cell_angle_beta 90.00
_cell_angle_gamma 90.00
_symmetry_space_group_name_H-M 'P m -3 n'
_symmetry_Int_Tables_number 223
_symmetry_space_group_name_Hall '-P 4n 2 3'
loop_
_atom_site_label
_atom_site_type_symbol
_atom_site_fract_x
_atom_site_fract_y
_atom_site_fract_z
W1 W 0.000 0.250 0.500
I1 I 0.000 0.500 0.250
```



<R>
Here is a relaxed structure of WI from the Alexandria database. Energies are from PBE.

Cell and atoms, written as CIF:
```
data_WI
_cell_length_a 3.615
_cell_length_b 12.885
_cell_length_c 6.747
_cell_angle_alpha 90.00
_cell_angle_beta 90.00
_cell_angle_gamma 90.00
_symmetry_space_group_name_H-M 'I m m 2'
_symmetry_Int_Tables_number 44
loop_
_symmetry_equiv_pos_as_xyz
'x,y,z'
'-x,-y,z'
'-x,y,z'
'x,-y,z'
'x+1/2,y+1/2,z+1/2'
'-x+1/2,-y+1/2,z+1/2'
'-x+1/2,y+1/2,z+1/2'
'x+1/2,-y+1/2,z+1/2'
loop_
_atom_site_label
_atom_site_type_symbol
_atom_site_fract_x
_atom_site_fract_y
_atom_site_fract_z
W1 W 0.000 0.000 0.000
W2 W 0.000 0.399 0.692
I1 I 0.000 0.267 0.351
I2 I 0.000 0.500 0.052
```



Which of them is the least stable? Correct choice: <Q>.



<P>
Here is a relaxed structure of WI from the Alexandria database. Energies are from PBE.

Cell and atoms, written as CIF:
```
data_WI
_cell_length_a 11.8360
_cell_length_b 11.8360
_cell_length_c 3.5354
_cell_angle_alpha 90.00
_cell_angle_beta 90.00
_cell_angle_gamma 120.00
_symmetry_space_group_name_H-M 'P 63/m'
_symmetry_Int_Tables_number 176
_symmetry_space_group_name_Hall '-P 6c'
loop_
_atom_site_label
_atom_site_type_symbol
_atom_site_fract_x
_atom_site_fract_y
_atom_site_fract_z
W1 W 0.0179 0.4385 0.2500
I1 I 0.2204 0.4423 0.7500
```



<Q>
Here is a relaxed structure of WI from the Alexandria database. Energies are from PBE.

Cell and atoms, written as CIF:
```
data_WI
_cell_length_a 5.715
_cell_length_b 5.715
_cell_length_c 5.715
_cell_angle_alpha 90.00
_cell_angle_beta 90.00
_cell_angle_gamma 90.00
_symmetry_space_group_name_H-M 'F m -3 m'
_symmetry_Int_Tables_number 225
_symmetry_space_group_name_Hall '-F 4 2 3'
loop_
_atom_site_label
_atom_site_type_symbol
_atom_site_fract_x
_atom_site_fract_y
_atom_site_fract_z
W1 W 0.000 0.000 0.000
I1 I 0.000 0.000 0.500
```



Which of them is the least stable? Correct choice: <Q>.



<P>
Here is a relaxed structure of YWI2 from the Alexandria database. Energies are from PBE.

Cell and atoms, written as CIF:
```
data_YWI2
_cell_length_a 7.299
_cell_length_b 7.299
_cell_length_c 7.299
_cell_angle_alpha 90.00
_cell_angle_beta 90.00
_cell_angle_gamma 90.00
_symmetry_space_group_name_H-M 'F m -3 m'
_symmetry_Int_Tables_number 225
_symmetry_space_group_name_Hall '-F 4 2 3'
loop_
_atom_site_label
_atom_site_type_symbol
_atom_site_fract_x
_atom_site_fract_y
_atom_site_fract_z
Y1 Y 0.000 0.000 0.000
W1 W 0.000 0.000 0.500
I1 I 0.250 0.250 0.250
```



<Q>
Here is a relaxed structure of YWI2 from the Alexandria database. Energies are from PBE.

Cell and atoms, written as CIF:
```
data_YWI2
_cell_length_a 5.011
_cell_length_b 5.011
_cell_length_c 18.417
_cell_angle_alpha 90.00
_cell_angle_beta 90.00
_cell_angle_gamma 90.00
_symmetry_space_group_name_H-M 'I -4 2 d'
_symmetry_Int_Tables_number 122
_symmetry_space_group_name_Hall 'I -4 2bw'
loop_
_atom_site_label
_atom_site_type_symbol
_atom_site_fract_x
_atom_site_fract_y
_atom_site_fract_z
Y1 Y 0.000 0.000 0.000
W1 W 0.000 0.000 0.500
I1 I 0.223 0.250 0.625
```



Which of them is the least stable? Correct choice: <Q>.



<P>
Here is a relaxed structure of Zn2W2I from the Alexandria database. Energies are from PBE.

Cell and atoms, written as CIF:
```
data_Zn2W2I
_cell_length_a 7.351
_cell_length_b 7.351
_cell_length_c 3.196
_cell_angle_alpha 90.00
_cell_angle_beta 90.00
_cell_angle_gamma 90.00
_symmetry_space_group_name_H-M 'P 4/m b m'
_symmetry_Int_Tables_number 127
_symmetry_space_group_name_Hall '-P 4 2ab'
loop_
_atom_site_label
_atom_site_type_symbol
_atom_site_fract_x
_atom_site_fract_y
_atom_site_fract_z
Zn1 Zn 0.114 0.386 0.000
W1 W 0.183 0.683 0.500
I1 I 0.000 0.000 0.000
```



<Q>
Here is a relaxed structure of Zn2W2I from the Alexandria database. Energies are from PBE.

Cell and atoms, written as CIF:
```
data_Zn2W2I
_cell_length_a 3.664
_cell_length_b 3.664
_cell_length_c 16.282
_cell_angle_alpha 90.00
_cell_angle_beta 90.00
_cell_angle_gamma 90.00
_symmetry_space_group_name_H-M 'I 4/m m m'
_symmetry_Int_Tables_number 139
_symmetry_space_group_name_Hall '-I 4 2'
loop_
_atom_site_label
_atom_site_type_symbol
_atom_site_fract_x
_atom_site_fract_y
_atom_site_fract_z
Zn1 Zn 0.000 0.000 0.120
W1 W 0.000 0.500 0.250
I1 I 0.000 0.000 0.500
```



Which of them is the least stable? Correct choice: <P>.



<P>
Here is a relaxed structure of Zn2WI2 from the Alexandria database. Energies are from PBE.

Cell and atoms, written as CIF:
```
data_Zn2WI2
_cell_length_a 7.123
_cell_length_b 7.123
_cell_length_c 4.656
_cell_angle_alpha 90.00
_cell_angle_beta 90.00
_cell_angle_gamma 90.00
_symmetry_space_group_name_H-M 'P 4/m b m'
_symmetry_Int_Tables_number 127
_symmetry_space_group_name_Hall '-P 4 2ab'
loop_
_atom_site_label
_atom_site_type_symbol
_atom_site_fract_x
_atom_site_fract_y
_atom_site_fract_z
Zn1 Zn 0.131 0.369 0.000
W1 W 0.000 0.000 0.000
I1 I 0.193 0.693 0.500
```



<Q>
Here is a relaxed structure of Zn2WI2 from the Alexandria database. Energies are from PBE.

Cell and atoms, written as CIF:
```
data_Zn2WI2
_cell_length_a 5.864
_cell_length_b 5.864
_cell_length_c 7.769
_cell_angle_alpha 90.00
_cell_angle_beta 90.00
_cell_angle_gamma 90.00
_symmetry_space_group_name_H-M 'I 4/m m m'
_symmetry_Int_Tables_number 139
_symmetry_space_group_name_Hall '-I 4 2'
loop_
_atom_site_label
_atom_site_type_symbol
_atom_site_fract_x
_atom_site_fract_y
_atom_site_fract_z
Zn1 Zn 0.000 0.000 0.154
W1 W 0.000 0.000 0.500
I1 I 0.000 0.500 0.250
```



Which of them is the least stable? Correct choice: <Q>.



<P>
Here is a relaxed structure of ZnW3I from the Alexandria database. Energies are from PBE.

Cell and atoms, written as CIF:
```
data_ZnW3I
_cell_length_a 4.675
_cell_length_b 4.675
_cell_length_c 4.675
_cell_angle_alpha 90.00
_cell_angle_beta 90.00
_cell_angle_gamma 90.00
_symmetry_space_group_name_H-M 'P m -3 m'
_symmetry_Int_Tables_number 221
_symmetry_space_group_name_Hall '-P 4 2 3'
loop_
_atom_site_label
_atom_site_type_symbol
_atom_site_fract_x
_atom_site_fract_y
_atom_site_fract_z
Zn1 Zn 0.000 0.000 0.000
W1 W 0.000 0.000 0.500
I1 I 0.500 0.500 0.500
```



<Q>
Here is a relaxed structure of ZnW3I from the Alexandria database. Energies are from PBE.

Cell and atoms, written as CIF:
```
data_ZnW3I
_cell_length_a 4.859
_cell_length_b 4.859
_cell_length_c 4.859
_cell_angle_alpha 90.00
_cell_angle_beta 90.00
_cell_angle_gamma 90.00
_symmetry_space_group_name_H-M 'P m -3 m'
_symmetry_Int_Tables_number 221
_symmetry_space_group_name_Hall '-P 4 2 3'
loop_
_atom_site_label
_atom_site_type_symbol
_atom_site_fract_x
_atom_site_fract_y
_atom_site_fract_z
Zn1 Zn 0.000 0.000 0.000
W1 W 0.000 0.500 0.500
I1 I 0.500 0.500 0.500
```



Which of them is the least stable? Correct choice: <Q>.



<P>
Here is a relaxed structure of ZnWI3 from the Alexandria database. Energies are from PBE.

Cell and atoms, written as CIF:
```
data_ZnWI3
_cell_length_a 5.530
_cell_length_b 5.530
_cell_length_c 5.530
_cell_angle_alpha 90.00
_cell_angle_beta 90.00
_cell_angle_gamma 90.00
_symmetry_space_group_name_H-M 'P m -3 m'
_symmetry_Int_Tables_number 221
_symmetry_space_group_name_Hall '-P 4 2 3'
loop_
_atom_site_label
_atom_site_type_symbol
_atom_site_fract_x
_atom_site_fract_y
_atom_site_fract_z
Zn1 Zn 0.000 0.000 0.000
W1 W 0.500 0.500 0.500
I1 I 0.000 0.000 0.500
```



<Q>
Here is a relaxed structure of ZnWI3 from the Alexandria database. Energies are from PBE.

Cell and atoms, written as CIF:
```
data_ZnWI3
_cell_length_a 5.643
_cell_length_b 5.643
_cell_length_c 5.643
_cell_angle_alpha 90.00
_cell_angle_beta 90.00
_cell_angle_gamma 90.00
_symmetry_space_group_name_H-M 'P m -3 m'
_symmetry_Int_Tables_number 221
_symmetry_space_group_name_Hall '-P 4 2 3'
loop_
_atom_site_label
_atom_site_type_symbol
_atom_site_fract_x
_atom_site_fract_y
_atom_site_fract_z
Zn1 Zn 0.000 0.000 0.000
W1 W 0.500 0.500 0.500
I1 I 0.000 0.500 0.500
```



Which of them is the least stable? Correct choice: <P>.